# 1
# Tm3Th2Sc3, optimized geometry, DFT PBE
# crystal system = trigonal
# space-group type = R32 (155)
# size of the total moment = 0.00 μB per cell
# DFT formation energy = 0.145 eV/atom
# volume = 231 Å³ per cell
data_Tm3Th2Sc3
_chemical_formula_sum 'Tm3 Th2 Sc3'
_symmetry_space_group_name_H-M 'P 1'
_symmetry_Int_Tables_number 1
_symmetry_space_group_name_Hall 'P 1'
_cell_length_a 6.180
_cell_length_b 6.180
_cell_length_c 6.180
_cell_angle_alpha 96.36
_cell_angle_beta 96.36
_cell_angle_gamma 96.36
loop_
_atom_site_label
_atom_site_fract_x
_atom_site_fract_y
_atom_site_fract_z
_atom_site_occupancy
Tm1 0.000 0.282 0.718 1
Tm2 0.282 0.718 0.000 1
Tm3 0.718 0.000 0.282 1
Th1 0.263 0.263 0.263 1
Th2 0.737 0.737 0.737 1
Sc1 0.207 0.793 0.500 1
Sc2 0.500 0.207 0.793 1
Sc3 0.793 0.500 0.207 1


# 2
# SrYNF2, optimized geometry, DFT PBE
# crystal system = tetragonal
# space-group type = P4/mmm (123)
# size of the total moment = 0.00 μB per cell
# volume = 89 Å³ per cell
# E = -6.503 eV/atom
data_SrYNF2
_chemical_formula_sum 'Sr1 Y1 N1 F2'
_symmetry_space_group_name_H-M 'P 1'
_symmetry_Int_Tables_number 1
_symmetry_space_group_name_Hall 'P 1'
_cell_length_a 4.381
_cell_length_b 4.381
_cell_length_c 4.660
_cell_angle_alpha 90.00
_cell_angle_beta 90.00
_cell_angle_gamma 90.00
loop_
_atom_site_label
_atom_site_fract_x
_atom_site_fract_y
_atom_site_fract_z
_atom_site_occupancy
Sr1 0.000 0.000 0.000 1
Y1 0.500 0.500 0.500 1
N1 0.500 0.500 0.000 1
F1 0.000 0.500 0.500 1
F2 0.500 0.000 0.500 1


# 3
# SmDyEr4, optimized geometry, DFT PBE
# crystal system = cubic
# space-group type = F-43m (216)
# size of the total moment = 1.21 μB per cell
# DFT formation energy = 0.281 eV/atom
# volume = 198 Å³ per cell
data_SmDyEr4
_chemical_formula_sum 'Sm1 Dy1 Er4'
_symmetry_space_group_name_H-M 'P 1'
_symmetry_Int_Tables_number 1
_symmetry_space_group_name_Hall 'P 1'
_cell_length_a 6.543
_cell_length_b 6.543
_cell_length_c 6.543
_cell_angle_alpha 60.00
_cell_angle_beta 60.00
_cell_angle_gamma 60.00
loop_
_atom_site_label
_atom_site_fract_x
_atom_site_fract_y
_atom_site_fract_z
_atom_site_occupancy
Sm1 0.000 0.000 0.000 1
Dy1 0.750 0.750 0.750 1
Er1 0.375 0.375 0.375 1
Er2 0.375 0.375 0.874 1
Er3 0.375 0.874 0.375 1
Er4 0.874 0.375 0.375 1


# 4
# NpGa4Cu2Pd, optimized geometry, DFT PBE
# crystal system = trigonal
# space-group type = R-3m (166)
# size of the total moment = 4.07 μB per cell
# DFT formation energy = -0.180 eV/atom
# volume = 135 Å³ per cell
data_NpGa4Cu2Pd
_chemical_formula_sum 'Np1 Ga4 Cu2 Pd1'
_symmetry_space_group_name_H-M 'P 1'
_symmetry_Int_Tables_number 1
_symmetry_space_group_name_Hall 'P 1'
_cell_length_a 9.116
_cell_length_b 9.116
_cell_length_c 9.116
_cell_angle_alpha 26.71
_cell_angle_beta 26.71
_cell_angle_gamma 26.71
loop_
_atom_site_label
_atom_site_fract_x
_atom_site_fract_y
_atom_site_fract_z
_atom_site_occupancy
Np1 0.000 0.000 0.000 1
Ga1 0.126 0.126 0.126 1
Ga2 0.399 0.399 0.399 1
Ga3 0.601 0.601 0.601 1
Ga4 0.874 0.874 0.874 1
Cu1 0.242 0.242 0.242 1
Cu2 0.758 0.758 0.758 1
Pd1 0.500 0.500 0.500 1


Q: size of the total moment of number 1 (Tm3Th2Sc3)?
A: 0.00 μB per cell


Q: Among the records above, which one has the highest size of the total moment?
A: NpGa4Cu2Pd


Please write out number 1 again, unchanged.
# Tm3Th2Sc3, optimized geometry, DFT PBE
# crystal system = trigonal
# space-group type = R32 (155)
# size of the total moment = 0.00 μB per cell
# DFT formation energy = 0.145 eV/atom
# volume = 231 Å³ per cell
data_Tm3Th2Sc3
_chemical_formula_sum 'Tm3 Th2 Sc3'
_symmetry_space_group_name_H-M 'P 1'
_symmetry_Int_Tables_number 1
_symmetry_space_group_name_Hall 'P 1'
_cell_length_a 6.180
_cell_length_b 6.180
_cell_length_c 6.180
_cell_angle_alpha 96.36
_cell_angle_beta 96.36
_cell_angle_gamma 96.36
loop_
_atom_site_label
_atom_site_fract_x
_atom_site_fract_y
_atom_site_fract_z
_atom_site_occupancy
Tm1 0.000 0.282 0.718 1
Tm2 0.282 0.718 0.000 1
Tm3 0.718 0.000 0.282 1
Th1 0.263 0.263 0.263 1
Th2 0.737 0.737 0.737 1
Sc1 0.207 0.793 0.500 1
Sc2 0.500 0.207 0.793 1
Sc3 0.793 0.500 0.207 1


Q: Look up the size of the total moment of the third one.
A: 1.21 μB per cell